(1)
Compound: Er4TePtS2
Source: the Alexandria database
Functional: PBE
Structure: optimized geometry

Computed properties:
Electronic total energy   -6.00 eV per atom
DOS(E_F)   4.40 states/eV per cell
E_form (uncorrected)   -148.71 kJ/mol of atoms

Structure (POSCAR):
```
Er4TePtS2
1.0
3.936 0.000 0.000
0.000 7.158 -0.239
0.000 2.423 6.591
S Er Pt Te
2 4 1 1
Direct
0.500 0.000 0.500
0.000 0.000 0.000
0.500 0.776 0.223
0.000 0.246 0.232
0.000 0.754 0.768
0.500 0.224 0.777
0.500 0.500 0.000
0.000 0.500 0.500
```


(2)
Compound: K2Ga3Au5
Source: the Alexandria database
Functional: PBE
Structure: optimized geometry

Computed properties:
Electronic total energy   -3.07 eV per atom
DOS(E_F)   6.97 states/eV per cell
Energy of formation from the pure elements   -3.021 eV per formula unit

Structure (POSCAR):
```
K2Ga3Au5
1.0
6.640 0.000 0.000
3.320 8.498 0.408
3.320 1.714 8.333
K Au Ga
4 10 6
Direct
0.632 0.121 0.615
0.368 0.879 0.385
0.868 0.385 0.879
0.132 0.615 0.121
0.391 0.247 0.971
0.891 0.971 0.247
0.500 0.250 0.250
0.250 0.500 0.500
0.500 0.750 0.750
0.000 0.750 0.750
0.609 0.753 0.029
0.109 0.029 0.753
0.000 0.250 0.250
0.750 0.500 0.500
0.125 0.262 0.488
0.375 0.512 0.738
0.875 0.738 0.512
0.250 0.000 0.000
0.750 0.000 0.000
0.625 0.488 0.262
```


(3)
Compound: ScVOs2
Source: the Alexandria database
Functional: PBE
Structure: optimized geometry

Computed properties:
Electronic total energy   -9.19 eV per atom
DOS(E_F)   4.86 states/eV per cell
Energy of formation from the pure elements   1.166 eV per formula unit

Structure (POSCAR):
```
ScVOs2
1.0
7.032 0.000 0.000
0.000 7.032 0.000
3.516 3.516 2.713
Sc Os V
2 4 2
Direct
0.500 0.500 0.000
0.250 0.750 0.500
0.875 0.916 0.750
0.084 0.625 0.250
0.666 0.125 0.250
0.375 0.334 0.750
0.750 0.250 0.500
0.000 0.000 0.000
```


(4)
Compound: K2Zr2AlSe6
Source: the Alexandria database
Functional: PBE
Structure: optimized geometry

Computed properties:
Electronic total energy   -5.24 eV per atom
DOS(E_F)   3.10 states/eV per cell
E_form (uncorrected)   -120.48 kJ/mol of atoms

Structure (POSCAR):
```
K2Zr2AlSe6
1.0
-2.245 -5.288 -3.513
6.606 1.254 0.358
-1.022 -3.070 7.525
Se Zr K Al
6 2 2 1
Direct
0.930 0.612 0.308
0.612 0.930 0.308
0.746 0.746 0.688
0.388 0.070 0.692
0.254 0.254 0.312
0.070 0.388 0.692
0.668 0.332 0.500
0.332 0.668 0.500
0.170 0.830 0.000
0.830 0.170 0.000
0.000 0.000 0.500
```